VASP calculation (PBE-GGA) on crystalline NaCdO at its relaxed geometry.

Cell: 4.675 4.675 10.536 Å, 90.00 90.00 90.00°
Space group I4_1md (No. 109)
Asymmetric unit:
Na: 0.000 0.000 0.000 x4
Cd: 0.000 0.000 0.555 x4
O: 0.000 0.000 0.775 x4

Results
energy relative to the elements, uncorrected: -0.81 eV/atom
N(E_F): 0.185 states/eV per atom
total energy: -3.211 eV per atom